An optimized crystal structure of Tb3Er3Tm5. Source: Alexandria, functional PBE.

For the formation energy, the calculation gives 0.36 eV per atom. The calculated volume comes out at 32.215 Å³/atom. For the density of states at the Fermi level, the calculation gives 16.323 states/eV per cell. The energy comes out at -45.94 eV/f.u.

The structure belongs to space group P-62m (No. 189); the cell edges are 10.9880, 10.9880 and 3.3891 Å and the angles 90.00°, 90.00° and 120.00°. The distinct sites, in fractional coordinates, are Tb at (0.0000, 0.6597, 0.0000), Er at (0.0000, 0.4061, 0.5000), Tm at (0.0000, 0.1598, 0.0000) and Tm at (0.3333, 0.6667, 0.0000).